Ta7W5: relaxed, PBE-GGA.

## Properties
E: -12.07 eV per atom
DFT formation energy: 244 meV/atom

abc: 5.3400 5.3400 17.4358
angles: 90.00 90.00 120.00
Closest atoms and distances in Å follow each position.
Positions (direct):
Ta 0.3274 0.1637 0.7500  6 Ta 2.62-2.74
Ta 0.3333 0.6667 0.8449  6 W 3.11-3.26, 10 Ta 3.14-3.31
Ta 0.1637 0.3274 0.2500  6 Ta 2.62-2.74
Ta 0.1637 0.8363 0.2500  6 Ta 2.62-2.74
Ta 0.3333 0.6667 0.6551  6 W 3.11-3.26, 10 Ta 3.14-3.31
Ta 0.3333 0.6667 0.1214  3 W 2.62, 3 Ta 2.74
Ta 0.6667 0.3333 0.1551  6 W 3.11-3.26, 10 Ta 3.14-3.31
Ta 0.3333 0.6667 0.3786  3 W 2.62, 3 Ta 2.74
Ta 0.6667 0.3333 0.8786  3 W 2.62, 3 Ta 2.74
Ta 0.6726 0.8363 0.2500  6 Ta 2.62-2.74
Ta 0.8363 0.6726 0.7500  6 Ta 2.62-2.74
Ta 0.6667 0.3333 0.6214  3 W 2.62, 3 Ta 2.74
Ta 0.6667 0.3333 0.3449  6 W 3.11-3.26, 10 Ta 3.14-3.31
Ta 0.8363 0.1637 0.7500  6 Ta 2.62-2.74
W 0.5000 0.5000 0.5000  2 Ta 2.62, 4 W 2.67
W 0.5000 0.0000 0.0000  2 Ta 2.62, 4 W 2.67
W 0.0000 0.0000 0.5936  9 Ta 3.12-3.26, 7 W 3.13-3.26
W 0.5000 0.0000 0.5000  2 Ta 2.62, 4 W 2.67
W 0.0000 0.0000 0.4064  9 Ta 3.12-3.26, 7 W 3.13-3.26
W 0.0000 0.0000 0.9064  9 Ta 3.12-3.26, 7 W 3.13-3.26
W 0.5000 0.5000 0.0000  2 Ta 2.62, 4 W 2.67
W 0.0000 0.5000 0.5000  2 Ta 2.62, 4 W 2.67
W 0.0000 0.5000 0.0000  2 Ta 2.62, 4 W 2.67
W 0.0000 0.0000 0.0936  9 Ta 3.12-3.26, 7 W 3.13-3.26



La3Cu2Ge4: relaxed, PBE-GGA.

## Properties
E: -5.26 eV per atom

abc: 6.0556 6.0556 8.4909
angles: 99.33 99.33 41.36
Closest atoms and distances in Å follow each position.
Positions (direct):
Cu 0.6099 0.6099 0.2833  3 Ge 2.39-2.41
Cu 0.3901 0.3901 0.7167  3 Ge 2.39-2.41
La 0.0000 0.0000 0.0000  8 Ge 3.21-3.37, 4 Cu 3.30
La 0.3386 0.3386 0.3328  4 Cu 3.17-3.33, 8 Ge 3.24-3.29
La 0.6614 0.6614 0.6672  4 Cu 3.17-3.33, 8 Ge 3.24-3.29
Ge 0.9379 0.9379 0.6134  2 Cu 2.41, 1 Ge 2.57
Ge 0.7143 0.7143 0.0612  1 Cu 2.39, 2 Ge 2.57
Ge 0.0621 0.0621 0.3866  2 Cu 2.41, 1 Ge 2.57
Ge 0.2857 0.2857 0.9388  1 Cu 2.39, 2 Ge 2.57



NdSm2: relaxed, PBE-GGA.

## Properties
E: -4.00 eV per atom
DFT formation energy: 726 meV/atom

abc: 5.5206 5.5206 5.5206
angles: 60.00 60.00 60.00
Closest atoms and distances in Å follow each position.
Positions (direct):
Nd 0.0000 0.0000 0.0000  8 Sm 3.38
Sm 0.7500 0.7500 0.7500  4 Nd 3.38
Sm 0.2500 0.2500 0.2500  4 Nd 3.38



GdErTm: relaxed, PBE-GGA.

## Properties
E: -3.85 eV per atom
DFT formation energy: 718 meV/atom

abc: 5.3682 5.3682 5.3682
angles: 60.00 60.00 60.00
Closest atoms and distances in Å follow each position.
Positions (direct):
Tm 0.0000 0.0000 0.0000  4 Gd 3.29, 4 Er 3.29
Er 0.2500 0.2500 0.2500  4 Tm 3.29
Gd 0.7500 0.7500 0.7500  4 Tm 3.29



Number 1: size of the total moment 0.005 μB/cell. Number 2: size of the total moment 0.009 μB/cell. Number 3: size of the total moment 0.007 μB/cell. Number 4: size of the total moment 0.011 μB/cell.